Record 1
VASP calculation (PBE-GGA) on a relaxed Zr4Tl5H crystal.

a = 8.7592 Å, b = 8.7592 Å, c = 8.4586 Å
α = 102.23°, β = 102.23°, γ = 21.30°
Last column: nearest neighbours and their distance in Å.
Atoms (fractional coordinates):
Zr  0.0074  0.0074  0.3255  2 H 2.21
Zr  0.3568  0.3568  0.4603  1 H 2.42
Zr  0.6432  0.6432  0.5397  1 H 2.42
Zr  0.9926  0.9926  0.6745  2 H 2.21
Tl  0.1663  0.1663  0.8797  5 Tl 3.08-3.44, 3 Zr 3.12-3.25
Tl  0.1821  0.1821  0.2495  5 Tl 3.08-3.44, 4 Zr 3.13-3.21
Tl  0.5000  0.5000  0.0000  4 Zr 3.17, 2 Tl 3.24
Tl  0.8179  0.8179  0.7505  5 Tl 3.08-3.44, 4 Zr 3.13-3.21
Tl  0.8337  0.8337  0.1203  5 Tl 3.08-3.44, 3 Zr 3.12-3.25
H  0.5000  0.5000  0.5000  6 Zr 2.21-2.42

## Properties
Symmetry: C2/m (12)
E, eV per atom: -4.918

=====

Record 2
VASP calculation (PBE-GGA) on a relaxed Ac2HoHg5 crystal.

a = 5.4274 Å, b = 5.4274 Å, c = 15.3863 Å
α = 90.00°, β = 90.00°, γ = 90.00°
Last column: nearest neighbours and their distance in Å.
Atoms (fractional coordinates):
Ac  0.0000  0.0000  0.2359  9 Hg 3.33-3.63
Ac  0.0000  0.0000  0.7641  9 Hg 3.33-3.63
Ac  0.5000  0.5000  0.2641  9 Hg 3.33-3.63
Ac  0.5000  0.5000  0.7359  9 Hg 3.33-3.63
Ho  0.0000  0.0000  0.5000  8 Hg 3.20
Ho  0.5000  0.5000  0.0000  8 Hg 3.20
Hg  0.0000  0.0000  0.0000  8 Hg 3.20
Hg  0.0000  0.5000  0.1099  2 Ho 3.20, 3 Hg 3.20-3.38, 2 Ac 3.33
Hg  0.0000  0.5000  0.3901  3 Hg 3.20-3.38, 2 Ho 3.20, 2 Ac 3.33
Hg  0.0000  0.5000  0.6099  3 Hg 3.20-3.38, 2 Ho 3.20, 2 Ac 3.33
Hg  0.0000  0.5000  0.8901  2 Ho 3.20, 3 Hg 3.20-3.38, 2 Ac 3.33
Hg  0.5000  0.0000  0.1099  2 Ho 3.20, 3 Hg 3.20-3.38, 2 Ac 3.33
Hg  0.5000  0.0000  0.3901  3 Hg 3.20-3.38, 2 Ho 3.20, 2 Ac 3.33
Hg  0.5000  0.0000  0.6099  3 Hg 3.20-3.38, 2 Ho 3.20, 2 Ac 3.33
Hg  0.5000  0.0000  0.8901  2 Ho 3.20, 3 Hg 3.20-3.38, 2 Ac 3.33
Hg  0.5000  0.5000  0.5000  8 Hg 3.20

## Properties
Formation energy, eV/atom: -0.39
Symmetry: I4/mmm (139)

=====

Record 3
VASP calculation (PBE-GGA) on a relaxed SrTaI3 crystal.

a = 5.7143 Å, b = 5.7143 Å, c = 5.7143 Å
α = 90.00°, β = 90.00°, γ = 90.00°
Last column: nearest neighbours and their distance in Å.
Atoms (fractional coordinates):
Sr  0.0000  0.0000  0.0000  12 I 4.04
Ta  0.5000  0.5000  0.5000  6 I 2.86
I  0.0000  0.5000  0.5000  2 Ta 2.86
I  0.5000  0.0000  0.5000  2 Ta 2.86
I  0.5000  0.5000  0.0000  2 Ta 2.86

## Properties
Formation energy from raw total energies, eV per atom: -0.060
Symmetry: Pm-3m (221)
Distance to the lowest polymorph of the same formula, kJ/mol of formula units: 0.0

=====

Record 4
VASP calculation (PBE-GGA) on a relaxed Pu2TlSb crystal.

a = 4.0705 Å, b = 4.0705 Å, c = 6.5730 Å
α = 90.00°, β = 90.00°, γ = 90.00°
Last column: nearest neighbours and their distance in Å.
Atoms (fractional coordinates):
Pu  0.0000  0.0000  0.2354  1 Pu 3.09, 4 Sb 3.27, 4 Tl 3.36
Pu  0.0000  0.0000  0.7646  1 Pu 3.09, 4 Sb 3.27, 4 Tl 3.36
Tl  0.5000  0.5000  0.5000  2 Sb 3.29, 8 Pu 3.36
Sb  0.5000  0.5000  0.0000  8 Pu 3.27, 2 Tl 3.29

## Properties
Formation energy from raw total energies, eV per atom: -0.331
Symmetry: P4/mmm (123)
Distance to the lowest polymorph of the same formula, kJ/mol of formula units: 1.2

=====

Record 5
VASP calculation (PBE-GGA) on a relaxed Ce2Tl crystal.

a = 6.1768 Å, b = 6.1768 Å, c = 6.1768 Å
α = 60.00°, β = 60.00°, γ = 60.00°
Last column: nearest neighbours and their distance in Å.
Atoms (fractional coordinates):
Ce  0.0000  0.0000  0.0000  6 Ce 3.09
Ce  0.0000  0.0000  0.5000  6 Ce 3.09
Ce  0.0000  0.5000  0.0000  6 Ce 3.09
Ce  0.5000  0.0000  0.0000  6 Ce 3.09
Tl  0.3750  0.3750  0.3750  12 Ce 3.62, 4 Tl 3.78
Tl  0.6250  0.6250  0.6250  12 Ce 3.62, 4 Tl 3.78

## Properties
Formation energy, eV/atom: 0.09
Symmetry: Fd-3m (227)

=====

Record 6
VASP calculation (PBE-GGA) on a relaxed LaTc2P crystal.

a = 4.3387 Å, b = 4.3387 Å, c = 3.6377 Å
α = 90.00°, β = 90.00°, γ = 90.00°
Last column: nearest neighbours and their distance in Å.
Atoms (fractional coordinates):
La  0.0000  0.0000  0.0000  8 Tc 2.83, 4 P 3.07
Tc  0.0000  0.5000  0.5000  4 La 2.83, 4 P 2.83, 4 Tc 3.07
Tc  0.5000  0.0000  0.5000  4 La 2.83, 4 P 2.83, 4 Tc 3.07
P  0.5000  0.5000  0.0000  8 Tc 2.83, 4 La 3.07

## Properties
Formation energy, eV/atom: 0.22
Symmetry: P4/mmm (123)

=====

Record 7
VASP calculation (PBE-GGA) on a relaxed Ca2TmTaN4 crystal.

a = 5.7670 Å, b = 3.3030 Å, c = 5.9099 Å
α = 90.00°, β = 108.78°, γ = 90.00°
Last column: nearest neighbours and their distance in Å.
Atoms (fractional coordinates):
Ca  0.0000  0.0000  0.0000  6 N 2.54-2.62
Ca  0.5000  0.5000  0.0000  6 N 2.43-2.44
Tm  0.0000  0.5000  0.5000  6 N 2.33-2.34
Ta  0.5000  0.0000  0.5000  6 N 2.13-2.21
N  0.2648  0.0000  0.7137  1 Ta 2.13, 2 Tm 2.33
N  0.2796  0.5000  0.2873  2 Ta 2.21, 1 Tm 2.34, 1 Ca 2.43
N  0.7204  0.5000  0.7127  2 Ta 2.21, 1 Tm 2.34, 1 Ca 2.43
N  0.7352  0.0000  0.2863  1 Ta 2.13, 2 Tm 2.33

## Properties
Formation energy from raw total energies, eV per atom: -1.363
Symmetry: P2/m (10)

=====

Record 8
VASP calculation (PBE-GGA) on a relaxed NaYHf crystal.

a = 7.4515 Å, b = 7.4515 Å, c = 7.4515 Å
α = 90.00°, β = 90.00°, γ = 90.00°
Last column: nearest neighbours and their distance in Å.
Atoms (fractional coordinates):
Na  0.0000  0.0000  0.0000  4 Hf 3.23
Na  0.0000  0.5000  0.5000  4 Hf 3.23
Na  0.5000  0.0000  0.5000  4 Hf 3.23
Na  0.5000  0.5000  0.0000  4 Hf 3.23
Y  0.0000  0.0000  0.5000  4 Hf 3.23
Y  0.0000  0.5000  0.0000  4 Hf 3.23
Y  0.5000  0.0000  0.0000  4 Hf 3.23
Y  0.5000  0.5000  0.5000  4 Hf 3.23
Hf  0.2500  0.2500  0.7500  4 Na 3.23, 4 Y 3.23
Hf  0.2500  0.7500  0.2500  4 Na 3.23, 4 Y 3.23
Hf  0.7500  0.2500  0.2500  4 Na 3.23, 4 Y 3.23
Hf  0.7500  0.7500  0.7500  4 Na 3.23, 4 Y 3.23

## Properties
Formation energy, eV/atom: 1.36
Symmetry: F-43m (216)
Distance to the lowest polymorph of the same formula, kJ/mol of formula units: 359.5

=====

Record 9
VASP calculation (PBE-GGA) on a relaxed Mn2CdSi crystal.

a = 2.7783 Å, b = 4.2068 Å, c = 5.0958 Å
α = 90.00°, β = 93.11°, γ = 90.00°
Last column: nearest neighbours and their distance in Å.
Atoms (fractional coordinates):
Mn  0.0000  0.0000  0.0000  4 Si 2.48-2.70, 2 Mn 2.61
Mn  0.1072  0.5000  0.7066  2 Si 2.39-2.58, 2 Mn 2.61
Cd  0.5621  0.0000  0.4872  7 Mn 2.72-2.86, 2 Cd 2.78, 2 Si 2.85
Si  0.5876  0.5000  0.1113  4 Mn 2.39-2.58

## Properties
Formation energy from raw total energies, eV per atom: 0.200
Symmetry: Pm (6)
Distance to the lowest polymorph of the same formula, kJ/mol of formula units: 74.2

=====

Record 10
VASP calculation (PBE-GGA) on a relaxed Pr3SbO crystal.

a = 8.1699 Å, b = 8.1699 Å, c = 4.0930 Å
α = 90.00°, β = 90.00°, γ = 106.73°
Last column: nearest neighbours and their distance in Å.
Atoms (fractional coordinates):
Pr  0.1705  0.4346  0.5000  2 O 2.62
Pr  0.1903  0.8097  0.0000  2 O 2.56
Pr  0.4346  0.1705  0.5000  2 O 2.62
Pr  0.5654  0.8295  0.5000  2 O 2.62
Pr  0.8097  0.1903  0.0000  2 O 2.56
Pr  0.8295  0.5654  0.5000  2 O 2.62
Sb  0.0000  0.0000  0.5000  8 Pr 3.23-3.42
Sb  0.5000  0.5000  0.0000  8 Pr 3.30
O  0.0000  0.5000  0.0000  6 Pr 2.56-2.62
O  0.5000  0.0000  0.0000  6 Pr 2.56-2.62

## Properties
Formation energy from raw total energies, eV per atom: -1.480
Symmetry: Cmmm (65)
Distance to the lowest polymorph of the same formula, kJ/mol of formula units: 0.0

=====

Record 11
VASP calculation (PBE-GGA) on a relaxed BaCu3 crystal.

a = 7.4300 Å, b = 4.2910 Å, c = 6.0549 Å
α = 90.00°, β = 114.24°, γ = 90.00°
Last column: nearest neighbours and their distance in Å.
Atoms (fractional coordinates):
Ba  0.0000  0.0000  0.0000  8 Cu 3.12-3.45
Ba  0.5000  0.5000  0.0000  8 Cu 3.12-3.45
Cu  0.0000  0.5000  0.5000  6 Cu 2.50
Cu  0.1882  0.0000  0.5648  6 Cu 2.50-2.58
Cu  0.3118  0.5000  0.4352  6 Cu 2.50-2.58
Cu  0.5000  0.0000  0.5000  6 Cu 2.50
Cu  0.6882  0.5000  0.5648  6 Cu 2.50-2.58
Cu  0.8118  0.0000  0.4352  6 Cu 2.50-2.58

## Properties
Formation energy, eV/atom: -0.03
Symmetry: C2/m (12)

=====

Record 12
VASP calculation (PBE-GGA) on a relaxed TaTi3Ga6 crystal.

a = 8.5733 Å, b = 8.5733 Å, c = 5.1492 Å
α = 90.00°, β = 90.00°, γ = 117.35°
Last column: nearest neighbours and their distance in Å.
Atoms (fractional coordinates):
Ta  0.1563  0.8437  0.7500  8 Ga 2.63-2.92, 1 Ti 2.75
Ta  0.8437  0.1563  0.2500  8 Ga 2.63-2.92, 1 Ti 2.75
Ti  0.1337  0.2937  0.7500  8 Ga 2.58-2.84, 1 Ti 2.78
Ti  0.2937  0.1337  0.2500  8 Ga 2.58-2.84, 1 Ti 2.78
Ti  0.3444  0.6556  0.7500  1 Ta 2.75, 2 Ti 2.78, 8 Ga 2.92-3.08
Ti  0.6556  0.3444  0.2500  1 Ta 2.75, 2 Ti 2.78, 8 Ga 2.92-3.08
Ti  0.7063  0.8663  0.7500  8 Ga 2.58-2.84, 1 Ti 2.78
Ti  0.8663  0.7063  0.2500  8 Ga 2.58-2.84, 1 Ti 2.78
Ga  0.0000  0.0000  0.0000  2 Ga 2.57, 4 Ti 2.58, 2 Ta 2.63
Ga  0.0000  0.0000  0.5000  2 Ga 2.57, 4 Ti 2.58, 2 Ta 2.63
Ga  0.0000  0.5000  0.0000  6 Ga 2.57-2.84, 2 Ti 2.82
Ga  0.0000  0.5000  0.5000  6 Ga 2.57-2.84, 2 Ti 2.82
Ga  0.2213  0.7787  0.2500  4 Ga 2.61, 2 Ta 2.74, 2 Ti 2.81
Ga  0.2599  0.4349  0.2500  3 Ga 2.72-2.84, 3 Ti 2.73-2.84
Ga  0.4349  0.2599  0.7500  3 Ga 2.72-2.84, 3 Ti 2.73-2.84
Ga  0.5000  0.0000  0.0000  6 Ga 2.57-2.84, 2 Ti 2.82
Ga  0.5000  0.0000  0.5000  6 Ga 2.57-2.84, 2 Ti 2.82
Ga  0.5651  0.7401  0.2500  3 Ga 2.72-2.84, 3 Ti 2.73-2.84
Ga  0.7401  0.5651  0.7500  3 Ga 2.72-2.84, 3 Ti 2.73-2.84
Ga  0.7787  0.2213  0.7500  4 Ga 2.61, 2 Ta 2.74, 2 Ti 2.81

## Properties
Formation energy, eV/atom: -0.17
Symmetry: Cmcm (63)

=====

Copy entry 2 word for word.
VASP calculation (PBE-GGA) on a relaxed Ac2HoHg5 crystal.

a = 5.4274 Å, b = 5.4274 Å, c = 15.3863 Å
α = 90.00°, β = 90.00°, γ = 90.00°
Last column: nearest neighbours and their distance in Å.
Atoms (fractional coordinates):
Ac  0.0000  0.0000  0.2359  9 Hg 3.33-3.63
Ac  0.0000  0.0000  0.7641  9 Hg 3.33-3.63
Ac  0.5000  0.5000  0.2641  9 Hg 3.33-3.63
Ac  0.5000  0.5000  0.7359  9 Hg 3.33-3.63
Ho  0.0000  0.0000  0.5000  8 Hg 3.20
Ho  0.5000  0.5000  0.0000  8 Hg 3.20
Hg  0.0000  0.0000  0.0000  8 Hg 3.20
Hg  0.0000  0.5000  0.1099  2 Ho 3.20, 3 Hg 3.20-3.38, 2 Ac 3.33
Hg  0.0000  0.5000  0.3901  3 Hg 3.20-3.38, 2 Ho 3.20, 2 Ac 3.33
Hg  0.0000  0.5000  0.6099  3 Hg 3.20-3.38, 2 Ho 3.20, 2 Ac 3.33
Hg  0.0000  0.5000  0.8901  2 Ho 3.20, 3 Hg 3.20-3.38, 2 Ac 3.33
Hg  0.5000  0.0000  0.1099  2 Ho 3.20, 3 Hg 3.20-3.38, 2 Ac 3.33
Hg  0.5000  0.0000  0.3901  3 Hg 3.20-3.38, 2 Ho 3.20, 2 Ac 3.33
Hg  0.5000  0.0000  0.6099  3 Hg 3.20-3.38, 2 Ho 3.20, 2 Ac 3.33
Hg  0.5000  0.0000  0.8901  2 Ho 3.20, 3 Hg 3.20-3.38, 2 Ac 3.33
Hg  0.5000  0.5000  0.5000  8 Hg 3.20

## Properties
Formation energy, eV/atom: -0.39
Symmetry: I4/mmm (139)